Record 1
{"formula": "AcBiP2", "functional": "PBE-GGA", "state": "relaxed", "sg": "Fm-3m, No. 225", "relative_energy_ev_per_fu": 0.858, "delta_e_f_mev_per_atom": -413, "cell": [[0.000, 3.687, 3.687], [3.687, 0.000, 3.687], [3.687, 3.687, 0.000]], "species": ["Ac", "Bi", "P", "P"], "frac_coords": [[0.000, 0.000, 0.000], [0.500, 0.500, 0.500], [0.250, 0.250, 0.250], [0.750, 0.750, 0.750]]}

Record 2
{"formula": "Ac5BiP4", "functional": "PBE-GGA", "state": "relaxed", "sg": "C2/m, No. 12", "delta_e_f_mev_per_atom": -1341, "cell": [[7.524, -2.255, 0.000], [7.524, 2.255, 0.000], [-5.525, 0.000, 9.710]], "species": ["Ac", "Ac", "Ac", "Ac", "Ac", "Bi", "P", "P", "P", "P"], "frac_coords": [[0.000, 0.000, 0.000], [0.206, 0.206, 0.813], [0.391, 0.391, 0.612], [0.609, 0.609, 0.388], [0.794, 0.794, 0.187], [0.000, 0.000, 0.500], [0.201, 0.201, 0.294], [0.402, 0.402, 0.099], [0.598, 0.598, 0.901], [0.799, 0.799, 0.706]]}

Record 3
{"formula": "AcBi4P", "functional": "PBE-GGA", "state": "relaxed", "sg": "F-43m, No. 216", "delta_e_f_mev_per_atom": 81, "cell": [[0.000, 4.585, 4.585], [4.585, 0.000, 4.585], [4.585, 4.585, 0.000]], "species": ["Ac", "Bi", "Bi", "Bi", "Bi", "P"], "frac_coords": [[0.000, 0.000, 0.000], [0.376, 0.376, 0.376], [0.376, 0.376, 0.871], [0.376, 0.871, 0.376], [0.871, 0.376, 0.376], [0.750, 0.750, 0.750]]}

Record 4
{"formula": "Ac2BiP", "functional": "PBE-GGA", "state": "relaxed", "sg": "P4/mmm, No. 123", "relative_energy_ev_per_fu": 1.061, "delta_e_f_mev_per_atom": -936, "cell": [[3.852, 0.000, 0.000], [0.000, 3.852, 0.000], [0.000, 0.000, 8.353]], "species": ["Ac", "Ac", "Bi", "P"], "frac_coords": [[0.000, 0.000, 0.215], [0.000, 0.000, 0.785], [0.500, 0.500, 0.500], [0.500, 0.500, 0.000]]}

Record 5
{"formula": "Ac4Bi2P", "functional": "PBE-GGA", "state": "relaxed", "sg": "I4/mmm, No. 139", "delta_e_f_mev_per_atom": -742, "cell": [[-2.856, 2.856, 8.757], [2.856, -2.856, 8.757], [2.856, 2.856, -8.757]], "species": ["Ac", "Ac", "Ac", "Ac", "Bi", "Bi", "P"], "frac_coords": [[0.000, 0.500, 0.500], [0.170, 0.170, 0.000], [0.500, 0.000, 0.500], [0.830, 0.830, 0.000], [0.366, 0.366, 0.000], [0.634, 0.634, 0.000], [0.000, 0.000, 0.000]]}

Record 6
{"formula": "Ac12Bi5P3", "functional": "PBE-GGA", "state": "relaxed", "sg": "Ia-3d, No. 230", "delta_e_f_mev_per_atom": -301, "cell": [[-9.594, 9.594, 9.594], [9.594, -9.594, 9.594], [9.594, 9.594, -9.594]], "species": ["Ac", "Ac", "Ac", "Ac", "Ac", "Ac", "Ac", "Ac", "Ac", "Ac", "Ac", "Ac", "Ac", "Ac", "Ac", "Ac", "Ac", "Ac", "Ac", "Ac", "Ac", "Ac", "Ac", "Ac", "Ac", "Ac", "Ac", "Ac", "Ac", "Ac", "Ac", "Ac", "Ac", "Ac", "Ac", "Ac", "Ac", "Ac", "Ac", "Ac", "Ac", "Ac", "Ac", "Ac", "Ac", "Ac", "Ac", "Ac", "Bi", "Bi", "Bi", "Bi", "Bi", "Bi", "Bi", "Bi", "Bi", "Bi", "Bi", "Bi", "Bi", "Bi", "Bi", "Bi", "Bi", "Bi", "Bi", "Bi", "P", "P", "P", "P", "P", "P", "P", "P", "P", "P", "P", "P"], "frac_coords": [[0.060, 0.627, 0.391], [0.060, 0.934, 0.669], [0.066, 0.235, 0.127], [0.066, 0.331, 0.940], [0.109, 0.735, 0.669], [0.109, 0.873, 0.440], [0.127, 0.066, 0.235], [0.127, 0.560, 0.891], [0.169, 0.235, 0.609], [0.169, 0.434, 0.560], [0.235, 0.127, 0.066], [0.235, 0.609, 0.169], [0.265, 0.331, 0.891], [0.265, 0.434, 0.373], [0.331, 0.891, 0.265], [0.331, 0.940, 0.066], [0.373, 0.265, 0.434], [0.373, 0.609, 0.940], [0.391, 0.060, 0.627], [0.391, 0.831, 0.765], [0.434, 0.373, 0.265], [0.434, 0.560, 0.169], [0.440, 0.109, 0.873], [0.440, 0.831, 0.566], [0.560, 0.169, 0.434], [0.560, 0.891, 0.127], [0.566, 0.440, 0.831], [0.566, 0.627, 0.735], [0.609, 0.169, 0.235], [0.609, 0.940, 0.373], [0.627, 0.391, 0.060], [0.627, 0.735, 0.566], [0.669, 0.060, 0.934], [0.669, 0.109, 0.735], [0.735, 0.566, 0.627], [0.735, 0.669, 0.109], [0.765, 0.391, 0.831], [0.765, 0.873, 0.934], [0.831, 0.566, 0.440], [0.831, 0.765, 0.391], [0.873, 0.440, 0.109], [0.873, 0.934, 0.765], [0.891, 0.127, 0.560], [0.891, 0.265, 0.331], [0.934, 0.669, 0.060], [0.934, 0.765, 0.873], [0.940, 0.066, 0.331], [0.940, 0.373, 0.609], [0.000, 0.000, 0.000], [0.000, 0.000, 0.500], [0.000, 0.500, 0.000], [0.000, 0.500, 0.500], [0.125, 0.750, 0.875], [0.125, 0.875, 0.250], [0.250, 0.125, 0.875], [0.250, 0.625, 0.375], [0.375, 0.250, 0.625], [0.375, 0.625, 0.750], [0.500, 0.000, 0.000], [0.500, 0.000, 0.500], [0.500, 0.500, 0.000], [0.500, 0.500, 0.500], [0.625, 0.375, 0.250], [0.625, 0.750, 0.375], [0.750, 0.375, 0.625], [0.750, 0.875, 0.125], [0.875, 0.125, 0.750], [0.875, 0.250, 0.125], [0.125, 0.250, 0.375], [0.125, 0.375, 0.750], [0.250, 0.375, 0.125], [0.250, 0.875, 0.625], [0.375, 0.125, 0.250], [0.375, 0.750, 0.125], [0.625, 0.250, 0.875], [0.625, 0.875, 0.750], [0.750, 0.125, 0.375], [0.750, 0.625, 0.875], [0.875, 0.625, 0.250], [0.875, 0.750, 0.625]]}